# 1
This record from Alexandria describes a relaxed GaSnS crystal. The functional is PBE-GGA.

a b c (Å): 4.660 4.675 8.450
angles (deg): 89.09 89.65 60.21
Fractional coordinates of all 6 atoms:
Ga 0.166 0.168 0.480
Ga 0.834 0.832 0.520
Sn 0.498 0.509 0.275
Sn 0.502 0.491 0.725
S 0.165 0.176 0.187
S 0.835 0.824 0.813

Computed properties:
M_tot ... 0.000 μB/f.u.
Total DFT energy (no corrections) ... -0.1411 Ha/atom
ΔE to the lowest computed polymorph ... 18.6 kJ/mol of formula units
ΔE_f (raw) ... -0.36 eV/f.u.

---

# 2
This record from Alexandria describes a relaxed GaSnS2 crystal. The functional is PBE-GGA.

a b c (Å): 6.396 6.396 6.396
angles (deg): 104.13 104.13 120.78
Fractional coordinates of all 8 atoms:
Ga 0.250 0.750 0.500
Ga 0.750 0.250 0.500
Sn 0.000 0.000 0.000
Sn 0.500 0.500 0.000
S 0.156 0.656 0.812
S 0.344 0.156 0.500
S 0.656 0.844 0.500
S 0.844 0.344 0.188

Computed properties:
M_tot ... 0.000 μB/f.u.
Total DFT energy (no corrections) ... -0.1573 Ha/atom
ΔE_f (raw) ... -1.84 eV/f.u.